[1]
VASP calculation (PBE) on a relaxed structure of Pm4Tl2O.

Structure (extended XYZ):
```
14
Lattice="6.639 0.000 0.000 0.000 7.054 0.000 -3.225 0.000 8.717" Properties=species:S:1:pos:R:3 pbc="T T T"
Pm -0.687 7.051 2.408
Pm -0.687 3.530 2.408
Pm 2.316 1.764 0.476
Pm 0.734 1.764 5.660
Pm 2.680 5.291 3.057
Pm 1.098 5.291 8.240
Pm 4.101 0.003 6.309
Pm 4.101 3.524 6.309
Tl 1.182 5.291 0.259
Tl 0.145 5.291 5.117
Tl 3.269 1.764 3.600
Tl 2.232 1.764 8.458
O -1.199 1.764 6.925
O 4.613 5.291 1.792
```

Output
Energy relative to the elements, uncorrected (eV per atom): -1.016
Total moment (μB per cell): 0.003
Offset from the most stable computed form (meV per atom): 0
VASP energy (eV/cell): -71.6

[2]
VASP calculation (PBE) on a relaxed structure of LaRe.

Structure (extended XYZ):
```
2
Lattice="1.687 0.974 4.611 -1.687 0.974 4.611 0.000 -1.948 4.611" Properties=species:S:1:pos:R:3 pbc="T T T"
La 0.000 0.000 0.000
Re 0.000 0.000 6.916
```

Output
Total moment (μB per cell): 0.004
Offset from the most stable computed form (meV per atom): 820
Calculated formation energy (eV per atom): 0.971
VASP energy (eV/cell): -15.4

[3]
VASP calculation (PBE) on a relaxed structure of SiSn2F8.

Structure (extended XYZ):
```
11
Lattice="5.002 -3.593 0.000 5.002 3.593 0.000 -1.524 0.000 4.863" Properties=species:S:1:pos:R:3 pbc="T T T"
Si 0.000 0.000 0.000
Sn 2.371 0.000 3.473
Sn 6.108 0.000 1.390
F 2.784 2.375 3.841
F -0.114 0.000 3.919
F 5.695 2.375 1.022
F 3.922 0.000 0.788
F 4.557 0.000 4.076
F 2.784 -2.375 3.841
F 8.594 0.000 0.944
F 5.695 -2.375 1.022
```

Output
Energy relative to the elements, uncorrected (eV per atom): -2.680
Total moment (μB per cell): 0.000
VASP energy (eV/cell): -57.9